Entry 1:
PBE-GGA AcLaPmSc, optimized geometry; formation enthalpy at 0 K = 0.119 eV per atom; space group = F-43m
1.0
0.000 4.119 4.119
4.119 0.000 4.119
4.119 4.119 0.000
Ac La Pm Sc
1 1 1 1
Direct
0.000 0.000 0.000 Ac
0.500 0.500 0.500 La
0.250 0.250 0.250 Pm
0.750 0.750 0.750 Sc



Entry 2:
PBE-GGA TcTeRu2, optimized geometry; energy relative to the elements, uncorrected = 0.335 eV/atom; space group = I-4m2
1.0
-2.000 2.000 3.886
2.000 -2.000 3.886
2.000 2.000 -3.886
Tc Te Ru
1 1 2
Direct
0.000 0.000 0.000 Tc
0.250 0.750 0.500 Te
0.500 0.500 0.000 Ru
0.750 0.250 0.500 Ru



Entry 3:
PBE-GGA Zn2AgHg, optimized geometry; formation enthalpy at 0 K = 0.074 eV per atom; space group = P4/mmm
1.0
3.417 0.000 0.000
0.000 3.417 0.000
0.000 0.000 6.097
Zn Ag Hg
2 1 1
Direct
0.000 0.000 0.230 Zn
0.000 0.000 0.770 Zn
0.500 0.500 0.000 Ag
0.500 0.500 0.500 Hg



Entry 4:
PBE-GGA NdHBr2, optimized geometry; final energy = -17.61 eV/f.u.; space group = R3m
1.0
2.004 1.157 7.560
-2.004 1.157 7.560
0.000 -2.314 7.560
Nd H Br
1 1 2
Direct
0.000 0.000 0.000 Nd
0.667 0.667 0.667 H
0.247 0.247 0.247 Br
0.419 0.419 0.419 Br



Entry 5:
PBE-GGA Cr2CuPt, optimized geometry; formation enthalpy at 0 K = 0.095 eV per atom; space group = Cmmm
1.0
2.520 -3.942 0.000
2.520 3.942 0.000
0.000 0.000 2.584
Cr Cu Pt
2 1 1
Direct
0.000 0.500 0.000 Cr
0.500 0.000 0.000 Cr
0.000 0.000 0.500 Cu
0.500 0.500 0.500 Pt



Entry 6:
PBE-GGA TlICl5, optimized geometry; energy relative to the elements, uncorrected = -0.415 eV/atom; space group = C2/c
1.0
8.189 -2.633 0.000
8.189 2.633 0.000
-6.966 0.000 12.404
Tl I Cl
2 2 10
Direct
0.044 0.956 0.750 Tl
0.956 0.044 0.250 Tl
0.000 0.500 0.500 I
0.500 0.000 0.000 I
0.053 0.159 0.494 Cl
0.159 0.053 0.994 Cl
0.162 0.249 0.320 Cl
0.249 0.162 0.820 Cl
0.454 0.546 0.250 Cl
0.546 0.454 0.750 Cl
0.751 0.838 0.180 Cl
0.838 0.751 0.680 Cl
0.841 0.947 0.006 Cl
0.947 0.841 0.506 Cl



Entry 7:
PBE-GGA CsMgIBr2, optimized geometry; energy relative to the elements, uncorrected = -1.454 eV/atom; space group = P4/mmm; offset from the most stable computed form = 0.0 kJ/mol of atoms
1.0
5.472 0.000 0.000
0.000 5.472 0.000
0.000 0.000 5.910
Cs Mg I Br
1 1 1 2
Direct
0.000 0.000 0.000 Cs
0.500 0.500 0.500 Mg
0.500 0.500 0.000 I
0.000 0.500 0.500 Br
0.500 0.000 0.500 Br



Entry 8:
PBE-GGA Zr3Ag5Au12, optimized geometry; formation enthalpy at 0 K = 0.223 eV per atom; space group = Ia-3d
1.0
-7.939 7.939 7.939
7.939 -7.939 7.939
7.939 7.939 -7.939
Zr Ag Au
12 20 48
Direct
0.125 0.250 0.375 Zr
0.125 0.375 0.750 Zr
0.250 0.375 0.125 Zr
0.250 0.875 0.625 Zr
0.375 0.125 0.250 Zr
0.375 0.750 0.125 Zr
0.625 0.250 0.875 Zr
0.625 0.875 0.750 Zr
0.750 0.125 0.375 Zr
0.750 0.625 0.875 Zr
0.875 0.625 0.250 Zr
0.875 0.750 0.625 Zr
0.000 0.000 0.000 Ag
0.000 0.000 0.500 Ag
0.000 0.500 0.000 Ag
0.000 0.500 0.500 Ag
0.125 0.750 0.875 Ag
0.125 0.875 0.250 Ag
0.250 0.125 0.875 Ag
0.250 0.625 0.375 Ag
0.375 0.250 0.625 Ag
0.375 0.625 0.750 Ag
0.500 0.000 0.000 Ag
0.500 0.000 0.500 Ag
0.500 0.500 0.000 Ag
0.500 0.500 0.500 Ag
0.625 0.375 0.250 Ag
0.625 0.750 0.375 Ag
0.750 0.375 0.625 Ag
0.750 0.875 0.125 Ag
0.875 0.125 0.750 Ag
0.875 0.250 0.125 Ag
0.066 0.228 0.142 Au
0.066 0.338 0.924 Au
0.076 0.642 0.414 Au
0.076 0.934 0.662 Au
0.086 0.728 0.662 Au
0.086 0.858 0.424 Au
0.142 0.066 0.228 Au
0.142 0.576 0.914 Au
0.162 0.228 0.586 Au
0.162 0.434 0.576 Au
0.228 0.142 0.066 Au
0.228 0.586 0.162 Au
0.272 0.338 0.914 Au
0.272 0.434 0.358 Au
0.338 0.914 0.272 Au
0.338 0.924 0.066 Au
0.358 0.272 0.434 Au
0.358 0.586 0.924 Au
0.414 0.076 0.642 Au
0.414 0.838 0.772 Au
0.424 0.086 0.858 Au
0.424 0.838 0.566 Au
0.434 0.358 0.272 Au
0.434 0.576 0.162 Au
0.566 0.424 0.838 Au
0.566 0.642 0.728 Au
0.576 0.162 0.434 Au
0.576 0.914 0.142 Au
0.586 0.162 0.228 Au
0.586 0.924 0.358 Au
0.642 0.414 0.076 Au
0.642 0.728 0.566 Au
0.662 0.076 0.934 Au
0.662 0.086 0.728 Au
0.728 0.566 0.642 Au
0.728 0.662 0.086 Au
0.772 0.414 0.838 Au
0.772 0.858 0.934 Au
0.838 0.566 0.424 Au
0.838 0.772 0.414 Au
0.858 0.424 0.086 Au
0.858 0.934 0.772 Au
0.914 0.142 0.576 Au
0.914 0.272 0.338 Au
0.924 0.066 0.338 Au
0.924 0.358 0.586 Au
0.934 0.662 0.076 Au
0.934 0.772 0.858 Au



Entry 9:
PBE-GGA KLa2AuO4, optimized geometry; energy relative to the elements, uncorrected = -2.336 eV/atom; space group = Cmcm
1.0
1.920 -6.558 0.000
1.920 6.558 0.000
0.000 0.000 12.121
K La Au O
2 4 2 8
Direct
0.059 0.941 0.750 K
0.941 0.059 0.250 K
0.373 0.627 0.567 La
0.373 0.627 0.933 La
0.627 0.373 0.067 La
0.627 0.373 0.433 La
0.246 0.754 0.250 Au
0.754 0.246 0.750 Au
0.000 0.000 0.000 O
0.000 0.000 0.500 O
0.242 0.758 0.084 O
0.242 0.758 0.416 O
0.425 0.575 0.750 O
0.575 0.425 0.250 O
0.758 0.242 0.584 O
0.758 0.242 0.916 O



Entry 10:
PBE-GGA La6HRuPt2, optimized geometry; final energy = -60.95 eV/f.u.; space group = P2_1/c
1.0
6.906 0.000 0.000
0.000 7.577 0.000
-6.243 0.000 10.478
La H Ru Pt
12 2 2 4
Direct
0.099 0.043 0.252 La
0.099 0.457 0.752 La
0.245 0.678 0.072 La
0.245 0.822 0.572 La
0.392 0.184 0.066 La
0.392 0.316 0.566 La
0.608 0.684 0.434 La
0.608 0.816 0.934 La
0.755 0.178 0.428 La
0.755 0.322 0.928 La
0.901 0.543 0.248 La
0.901 0.957 0.748 La
0.500 0.000 0.500 H
0.500 0.500 0.000 H
0.000 0.000 0.000 Ru
0.000 0.500 0.500 Ru
0.328 0.114 0.772 Pt
0.328 0.386 0.272 Pt
0.672 0.614 0.728 Pt
0.672 0.886 0.228 Pt



Entry 11:
PBE-GGA LaTa3S, optimized geometry; energy relative to the elements, uncorrected = 0.220 eV/atom; space group = Pm-3m; offset from the most stable computed form = 0.0 kJ/mol of atoms
1.0
4.739 0.000 0.000
0.000 4.739 0.000
0.000 0.000 4.739
La Ta S
1 3 1
Direct
0.000 0.000 0.000 La
0.000 0.500 0.500 Ta
0.500 0.000 0.500 Ta
0.500 0.500 0.000 Ta
0.500 0.500 0.500 S



Entry 12:
PBE-GGA La2FeRePt, optimized geometry; formation enthalpy at 0 K = 0.918 eV per atom; space group = P4/mmm
1.0
5.564 0.000 0.000
0.000 5.564 0.000
0.000 0.000 4.471
La Fe Re Pt
2 1 1 1
Direct
0.000 0.500 0.000 La
0.500 0.000 0.000 La
0.000 0.000 0.500 Fe
0.500 0.500 0.500 Re
0.000 0.000 0.000 Pt



Entry 13:
PBE-GGA CdSnBr, optimized geometry; energy relative to the elements, uncorrected = -0.288 eV/atom; space group = P1; offset from the most stable computed form = 0.0 kJ/mol of atoms
1.0
3.761 0.000 0.000
1.776 6.999 0.000
0.041 0.317 7.477
Cd Sn Br
2 2 2
Direct
0.000 0.000 0.000 Cd
0.354 0.293 0.497 Cd
0.347 0.311 0.869 Sn
0.692 0.641 0.960 Sn
0.723 0.564 0.322 Br
0.985 0.025 0.379 Br



Entry 14:
PBE-GGA UTcSn, optimized geometry; formation enthalpy at 0 K = 0.126 eV per atom; space group = P-6m2; offset from the most stable computed form = 25.9 kJ/mol of atoms
1.0
4.687 0.000 0.000
-2.344 4.059 0.000
0.000 0.000 3.263
U Tc Sn
1 1 1
Direct
0.000 0.000 0.000 U
0.667 0.333 0.500 Tc
0.333 0.667 0.500 Sn



Entry 15:
PBE-GGA Ho2TmTl, optimized geometry; formation enthalpy at 0 K = -0.023 eV per atom; space group = Fm-3m; offset from the most stable computed form = 14.0 kJ/mol of atoms
1.0
0.000 3.837 3.837
3.837 0.000 3.837
3.837 3.837 0.000
Ho Tm Tl
2 1 1
Direct
0.250 0.250 0.250 Ho
0.750 0.750 0.750 Ho
0.000 0.000 0.000 Tm
0.500 0.500 0.500 Tl



Entry 16:
PBE-GGA LiRh2PbC, optimized geometry; formation enthalpy at 0 K = 0.026 eV per atom; space group = P4/mmm
1.0
4.067 0.000 0.000
0.000 4.067 0.000
0.000 0.000 4.498
Li Rh Pb C
1 2 1 1
Direct
0.000 0.000 0.000 Li
0.000 0.500 0.500 Rh
0.500 0.000 0.500 Rh
0.500 0.500 0.000 Pb
0.000 0.000 0.500 C



Entry 17:
PBE-GGA LiPm2Tc, optimized geometry; formation enthalpy at 0 K = 0.046 eV per atom; space group = P4/mmm; offset from the most stable computed form = 0.0 kJ/mol of atoms
1.0
3.533 0.000 0.000
0.000 3.533 0.000
0.000 0.000 8.127
Li Pm Tc
1 2 1
Direct
0.000 0.000 0.000 Li
0.500 0.500 0.294 Pm
0.500 0.500 0.706 Pm
0.000 0.000 0.500 Tc



Entry 18:
PBE-GGA RePt2Pb, optimized geometry; formation enthalpy at 0 K = 0.305 eV per atom; space group = Cm
1.0
4.513 -1.499 0.000
4.513 1.499 0.000
-0.996 0.000 5.340
Re Pt Pb
1 2 1
Direct
0.000 0.000 0.000 Re
0.495 0.495 0.412 Pt
0.742 0.742 0.175 Pt
0.249 0.249 0.689 Pb



Entry 19:
PBE-GGA MnAl2Fe, optimized geometry; formation enthalpy at 0 K = -0.185 eV per atom; space group = Cm
1.0
4.510 -1.363 0.000
4.510 1.363 0.000
-1.048 0.000 4.253
Mn Al Fe
1 2 1
Direct
0.000 0.000 0.000 Mn
0.506 0.506 0.508 Al
0.745 0.745 0.197 Al
0.248 0.248 0.704 Fe



Entry 20:
PBE-GGA BaNiPt4, optimized geometry; formation enthalpy at 0 K = -0.108 eV per atom; space group = F-43m
1.0
0.000 3.870 3.870
3.870 0.000 3.870
3.870 3.870 0.000
Ba Ni Pt
1 1 4
Direct
0.000 0.000 0.000 Ba
0.750 0.750 0.750 Ni
0.376 0.376 0.376 Pt
0.376 0.376 0.873 Pt
0.376 0.873 0.376 Pt
0.873 0.376 0.376 Pt



Number 1: magnetization 0.00 μB/cell. Number 2: magnetization 0.00 μB/cell. Number 3: magnetization 0.00 μB/cell. Number 4: magnetization 0.00 μB/cell. Number 5: magnetization 0.00 μB/cell. Number 6: magnetization 0.00 μB/cell. Number 7: magnetization 0.00 μB/cell. Number 8: magnetization 0.00 μB/cell. Number 9: magnetization 0.00 μB/cell. Number 10: magnetization 0.00 μB/cell. Number 11: magnetization 0.00 μB/cell. Number 12: magnetization 2.20 μB/cell. Number 13: magnetization 0.00 μB/cell. Number 14: magnetization 0.88 μB/cell. Number 15: magnetization 1.26 μB/cell. Number 16: magnetization 0.00 μB/cell. Number 17: magnetization 0.00 μB/cell. Number 18: magnetization 0.00 μB/cell. Number 19: magnetization 4.27 μB/cell. Number 20: magnetization 0.80 μB/cell.